[1]
## FeCoIr2 (PBE)

Data for a geometry-optimized FeCoIr2 structure.

Lattice parameters (Å, degrees): 2.6861 3.6940 5.2392 90.00 90.00 90.00
Last column: magnetic moment on the atom in μB.
Fractional coordinates of all 4 atoms:
Ir: 0.0000 0.0000 0.9946  -0.06
Ir: 0.5000 0.5000 0.2608  0.00
Co: 0.0000 0.0000 0.5047  1.12
Fe: 0.5000 0.5000 0.7399  2.47

Calculated values
**Crystal system**: orthorhombic
**Space group**: Pmm2 (25)
**E_form**: 7 meV/atom
**Total energy**: -8.316 eV per atom
**N(E_F)**: 1.26 states/eV per atom


[2]
## P2IrBrO (PBE)

Data for a geometry-optimized P2IrBrO structure.

Lattice parameters (Å, degrees): 4.8090 4.8090 3.5065 90.00 90.00 90.00
Fractional coordinates of all 5 atoms:
P: 0.0000 0.5000 0.0000
P: 0.5000 0.0000 0.0000
Ir: 0.5000 0.5000 0.5000
O: 0.0000 0.0000 0.5000
Br: 0.0000 0.0000 0.0000

Calculated values
**Crystal system**: tetragonal
**Space group**: P4/mmm (123)
**ΔE to the lowest computed polymorph**: 1.068 eV/atom
**Total energy**: -3.860 eV per atom
**N(E_F)**: 0.76 states/eV per atom
**Uncorrected formation energy**: 676 kJ/mol of formula units


[3]
## KSn8Ir2 (PBE)

Data for a geometry-optimized KSn8Ir2 structure.

Lattice parameters (Å, degrees): 6.3488 6.3488 9.3170 90.00 90.00 90.00
Fractional coordinates of all 11 atoms:
K: 0.5000 0.5000 0.5000
Sn: 0.7514 0.7514 0.1757
Sn: 0.7514 0.2486 0.8243
Sn: 0.7514 0.7514 0.8243
Sn: 0.7514 0.2486 0.1757
Sn: 0.2486 0.7514 0.1757
Sn: 0.2486 0.7514 0.8243
Sn: 0.2486 0.2486 0.1757
Sn: 0.2486 0.2486 0.8243
Ir: 0.5000 0.0000 0.0000
Ir: 0.0000 0.5000 0.0000

Calculated values
**Crystal system**: tetragonal
**Space group**: P4/mmm (123)
**E_form**: -24 meV/atom
**Total energy**: -4.646 eV per atom
**N(E_F)**: 0.77 states/eV per atom


[4]
## AcTbTeI (PBE)

Data for a geometry-optimized AcTbTeI structure.

Lattice parameters (Å, degrees): 5.5840 5.5840 5.5840 60.00 60.00 60.00
Fractional coordinates of all 4 atoms:
I: 0.7500 0.7500 0.7500
Ac: 0.5000 0.5000 0.5000
Te: 0.2500 0.2500 0.2500
Tb: 0.0000 0.0000 0.0000

Calculated values
**Crystal system**: cubic
**Space group**: F-43m (216)
**Total energy**: -4.361 eV per atom
**N(E_F)**: 0.96 states/eV per atom
**Uncorrected formation energy**: -387 kJ/mol of formula units


[5]
## Rb3NpTi2O8 (PBE)

Data for a geometry-optimized Rb3NpTi2O8 structure.

Lattice parameters (Å, degrees): 6.1107 6.1107 8.1222 90.00 90.00 120.00
Last column: magnetic moment on the atom in μB.
Fractional coordinates of all 14 atoms:
Rb: 0.3333 0.6667 0.7253  0.00
Rb: 0.6667 0.3333 0.2747  0.00
Rb: 0.0000 0.0000 0.0000  0.00
Np: 0.0000 0.0000 0.5000  2.19
Ti: 0.3333 0.6667 0.2700  0.01
Ti: 0.6667 0.3333 0.7300  0.01
O: 0.3333 0.6667 0.0586  -0.01
O: 0.6667 0.3333 0.9414  -0.01
O: 0.1652 0.8348 0.3460  -0.04
O: 0.8348 0.1652 0.6540  -0.04
O: 0.1652 0.3305 0.3460  -0.04
O: 0.8348 0.6695 0.6540  -0.04
O: 0.6695 0.8348 0.3460  -0.04
O: 0.3305 0.1652 0.6540  -0.04

Calculated values
**Crystal system**: trigonal
**Space group**: P-3m1 (164)
**Total energy**: -7.713 eV per atom
**N(E_F)**: 0.57 states/eV per atom
**Uncorrected formation energy**: -3539 kJ/mol of formula units


[6]
## ScSe2Cl (PBE)

Data for a geometry-optimized ScSe2Cl structure.

Lattice parameters (Å, degrees): 3.1543 3.1543 10.9367 90.00 90.00 97.18
Fractional coordinates of all 4 atoms:
Cl: 0.0000 0.0000 0.6000
Sc: 0.5000 0.5000 0.7518
Se: 0.0000 0.0000 0.8994
Se: 0.5000 0.5000 0.2488

Calculated values
**Crystal system**: orthorhombic
**Space group**: Cmm2 (35)
**ΔE to the lowest computed polymorph**: 0.482 eV/atom
**Total energy**: -4.597 eV per atom
**N(E_F)**: 0.71 states/eV per atom
**Uncorrected formation energy**: -313 kJ/mol of formula units


[7]
## Ac8ZnP3I4 (PBE)

Data for a geometry-optimized Ac8ZnP3I4 structure.

Lattice parameters (Å, degrees): 8.9670 9.7086 8.9668 117.50 120.00 90.00
Fractional coordinates of all 16 atoms:
Ac: 0.2351 0.6973 0.9621
Ac: 0.2352 0.6973 0.4703
Ac: 0.2689 0.3067 0.5378
Ac: 0.7270 0.6973 0.9621
Ac: 0.2730 0.3027 0.0379
Ac: 0.7311 0.6933 0.4622
Ac: 0.7648 0.3027 0.5297
Ac: 0.7649 0.3027 0.0379
Zn: 0.0000 0.5000 0.0000
P: 0.5000 0.5000 0.0000
P: 0.5000 0.5000 0.5000
P: 0.0000 0.5000 0.5000
I: 0.5000 0.0000 0.0000
I: 0.5000 0.0000 0.5000
I: 0.0000 0.0000 0.0000
I: 0.0000 0.0000 0.5000

Calculated values
**Crystal system**: trigonal
**Space group**: R-3m (166)
**Total energy**: -4.661 eV per atom
**N(E_F)**: 0.66 states/eV per atom
**Uncorrected formation energy**: -1737 kJ/mol of formula units


[8]
## SrYOs (PBE)

Data for a geometry-optimized SrYOs structure.

Lattice parameters (Å, degrees): 4.9236 4.9236 4.9236 60.00 60.00 60.00
Fractional coordinates of all 3 atoms:
Os: 0.7500 0.7500 0.7500
Sr: 0.0000 0.0000 0.0000
Y: 0.5000 0.5000 0.5000

Calculated values
**Crystal system**: cubic
**Space group**: F-43m (216)
**ΔE to the lowest computed polymorph**: 0.164 eV/atom
**E_form**: 361 meV/atom
**Total energy**: -6.098 eV per atom
**N(E_F)**: 0.94 states/eV per atom


[9]
## RbGe2Te4 (PBE)

Data for a geometry-optimized RbGe2Te4 structure.

Lattice parameters (Å, degrees): 9.9243 9.9184 7.3246 108.83 108.89 118.15
Fractional coordinates of all 14 atoms:
Ge: 0.5638 0.7427 0.0766
Ge: 0.6938 0.4487 0.9054
Ge: 0.9923 0.3134 0.5764
Ge: 0.6986 0.4438 0.4055
Te: 0.0300 0.6013 0.8593
Te: 0.3894 0.2375 0.9388
Te: 0.7856 0.2676 0.1305
Te: 0.4875 0.1393 0.4391
Te: 0.6963 0.0240 0.5380
Te: 0.2745 0.4465 0.0382
Te: 0.8516 0.7803 0.3598
Te: 0.5182 0.5362 0.6304
Rb: 0.2621 0.7559 0.5507
Rb: 0.0064 0.0127 0.0513

Calculated values
**Crystal system**: monoclinic
**Space group**: Cc (9)
**ΔE to the lowest computed polymorph**: 0.010 eV/atom
**Total energy**: -3.503 eV per atom
**N(E_F)**: 0.34 states/eV per atom
**Uncorrected formation energy**: -169 kJ/mol of formula units


[10]
## NiBi2S4 (PBE)

Data for a geometry-optimized NiBi2S4 structure.

Lattice parameters (Å, degrees): 3.9436 7.0145 13.2957 90.00 90.00 106.33
Last column: magnetic moment on the atom in μB.
Fractional coordinates of all 14 atoms:
Ni: 0.5372 0.0744 0.7500  1.12
Ni: 0.4628 0.9256 0.2500  1.12
Bi: 0.1419 0.2837 0.4373  0.01
Bi: 0.8581 0.7163 0.9373  0.01
Bi: 0.1419 0.2837 0.0627  0.01
Bi: 0.8581 0.7163 0.5627  0.01
S: 0.7733 0.5465 0.1226  0.07
S: 0.7733 0.5465 0.3774  0.07
S: 0.2267 0.4535 0.8774  0.07
S: 0.2267 0.4535 0.6226  0.07
S: 0.9737 0.9475 0.7500  0.21
S: 0.0263 0.0525 0.2500  0.21
S: 0.5000 0.0000 0.0000  0.12
S: 0.5000 0.0000 0.5000  0.12

Calculated values
**Crystal system**: orthorhombic
**Space group**: Cmcm (63)
**Total energy**: -4.360 eV per atom
**N(E_F)**: 0.74 states/eV per atom
**Uncorrected formation energy**: -45 kJ/mol of formula units


[11]
## Ag2MoCl (PBE)

Data for a geometry-optimized Ag2MoCl structure.

Lattice parameters (Å, degrees): 4.8424 4.8424 4.8424 60.00 60.00 60.00
Last column: magnetic moment on the atom in μB.
Fractional coordinates of all 4 atoms:
Mo: 0.5000 0.5000 0.5000  3.07
Ag: 0.2500 0.2500 0.2500  0.05
Ag: 0.7500 0.7500 0.7500  0.05
Cl: 0.0000 0.0000 0.0000  0.07

Calculated values
**Crystal system**: cubic
**Space group**: Fm-3m (225)
**ΔE to the lowest computed polymorph**: 0.879 eV/atom
**Total energy**: -3.603 eV per atom
**N(E_F)**: 1.05 states/eV per atom
**Uncorrected formation energy**: 383 kJ/mol of formula units


[12]
## Sr3Ge3Rh (PBE)

Data for a geometry-optimized Sr3Ge3Rh structure.

Lattice parameters (Å, degrees): 4.4094 6.1134 14.2366 90.00 90.00 111.14
Fractional coordinates of all 14 atoms:
Sr: 0.2271 0.4543 0.8982
Sr: 0.7729 0.5457 0.1018
Sr: 0.2271 0.4543 0.6018
Sr: 0.7729 0.5457 0.3982
Sr: 0.5111 0.0223 0.7500
Sr: 0.4889 0.9777 0.2500
Ge: 0.9396 0.8791 0.9140
Ge: 0.0604 0.1209 0.0860
Ge: 0.9396 0.8791 0.5860
Ge: 0.0604 0.1209 0.4140
Ge: 0.8070 0.6141 0.7500
Ge: 0.1930 0.3859 0.2500
Rh: 0.5000 0.0000 0.0000
Rh: 0.5000 0.0000 0.5000

Calculated values
**Crystal system**: orthorhombic
**Space group**: Cmcm (63)
**E_form**: -574 meV/atom
**Total energy**: -4.324 eV per atom
**N(E_F)**: 0.54 states/eV per atom


[13]
## Rb2Np2PdSe6 (PBE)

Data for a geometry-optimized Rb2Np2PdSe6 structure.

Lattice parameters (Å, degrees): 6.8211 6.8211 8.3942 98.52 98.52 113.66
Last column: magnetic moment on the atom in μB.
Fractional coordinates of all 11 atoms:
Rb: 0.8192 0.1808 0.0000  0.00
Rb: 0.1808 0.8192 0.0000  0.00
Np: 0.3331 0.6669 0.5000  3.36
Np: 0.6669 0.3331 0.5000  3.36
Pd: 0.0000 0.0000 0.5000  0.01
Se: 0.6733 0.6733 0.7325  -0.15
Se: 0.0627 0.3681 0.6779  -0.09
Se: 0.3267 0.3267 0.2675  -0.15
Se: 0.3681 0.0627 0.6779  -0.09
Se: 0.9373 0.6319 0.3221  -0.09
Se: 0.6319 0.9373 0.3221  -0.09

Calculated values
**Crystal system**: monoclinic
**Space group**: C2/m (12)
**Total energy**: -5.880 eV per atom
**N(E_F)**: 1.46 states/eV per atom
**Uncorrected formation energy**: -1039 kJ/mol of formula units


[14]
## SrInGe (PBE)

Data for a geometry-optimized SrInGe structure.

Lattice parameters (Å, degrees): 4.5549 9.5550 7.6184 90.00 90.00 90.00
Fractional coordinates of all 12 atoms:
Sr: 0.2500 0.8173 0.4828
Sr: 0.7500 0.3173 0.0172
Sr: 0.2500 0.6827 0.9828
Sr: 0.7500 0.1827 0.5172
In: 0.7500 0.9287 0.1500
In: 0.7500 0.5713 0.6500
In: 0.2500 0.0713 0.8500
In: 0.2500 0.4287 0.3500
Ge: 0.7500 0.5999 0.2720
Ge: 0.7500 0.9001 0.7720
Ge: 0.2500 0.0999 0.2280
Ge: 0.2500 0.4001 0.7280

Calculated values
**Crystal system**: orthorhombic
**Space group**: Pnma (62)
**E_form**: -464 meV/atom
**Total energy**: -3.477 eV per atom
**N(E_F)**: 0.27 states/eV per atom


[15]
## Tb2YScTe6 (PBE)

Data for a geometry-optimized Tb2YScTe6 structure.

Lattice parameters (Å, degrees): 7.6146 7.6147 8.2200 62.40 62.41 60.00
Fractional coordinates of all 10 atoms:
Tb: 0.5111 0.5111 0.4666
Tb: 0.0096 0.0096 0.9711
Y: 0.8247 0.8246 0.5261
Sc: 0.3263 0.3263 0.0212
Te: 0.5864 0.2280 0.2500
Te: 0.2281 0.9356 0.2500
Te: 0.9355 0.5864 0.2500
Te: 0.4223 0.7171 0.7601
Te: 0.7170 0.1007 0.7600
Te: 0.1006 0.4222 0.7600

Calculated values
**Crystal system**: trigonal
**Space group**: R3 (146)
**Total energy**: -5.412 eV per atom
**Uncorrected formation energy**: -1274 kJ/mol of formula units


[16]
## CdAu2Se (PBE)

Data for a geometry-optimized CdAu2Se structure.

Lattice parameters (Å, degrees): 4.8308 4.8308 4.8308 60.00 60.00 60.00
Fractional coordinates of all 4 atoms:
Au: 0.0000 0.0000 0.0000
Au: 0.2500 0.2500 0.2500
Cd: 0.5000 0.5000 0.5000
Se: 0.7500 0.7500 0.7500

Calculated values
**Crystal system**: cubic
**Space group**: F-43m (216)
**ΔE to the lowest computed polymorph**: 0.113 eV/atom
**Total energy**: -2.661 eV per atom
**N(E_F)**: 0.09 states/eV per atom
**Uncorrected formation energy**: 30 kJ/mol of formula units


[17]
## Y4Cu2Hg (PBE)

Data for a geometry-optimized Y4Cu2Hg structure.

Lattice parameters (Å, degrees): 5.0201 5.0201 8.5346 72.90 72.90 60.00
Fractional coordinates of all 7 atoms:
Y: 0.8697 0.8697 0.3908
Y: 0.1303 0.1303 0.6092
Y: 0.6174 0.6174 0.1478
Y: 0.3826 0.3826 0.8522
Hg: 0.0000 0.0000 0.0000
Cu: 0.7484 0.7484 0.7546
Cu: 0.2516 0.2516 0.2454

Calculated values
**Crystal system**: trigonal
**Space group**: R-3m (166)
**E_form**: -177 meV/atom
**Total energy**: -5.084 eV per atom
**N(E_F)**: 0.98 states/eV per atom


[18]
## TaIn2Te (PBE)

Data for a geometry-optimized TaIn2Te structure.

Lattice parameters (Å, degrees): 3.8196 3.8196 6.3215 90.00 90.00 90.00
Fractional coordinates of all 4 atoms:
In: 0.0000 0.0000 0.0244
In: 0.0000 0.0000 0.4756
Ta: 0.5000 0.5000 0.2500
Te: 0.5000 0.5000 0.7500

Calculated values
**Crystal system**: tetragonal
**Space group**: P4/mmm (123)
**ΔE to the lowest computed polymorph**: 0.318 eV/atom
**Total energy**: -4.723 eV per atom
**N(E_F)**: 1.06 states/eV per atom
**Uncorrected formation energy**: 152 kJ/mol of formula units


[19]
## Na10B17C3 (PBE)

Data for a geometry-optimized Na10B17C3 structure.

Lattice parameters (Å, degrees): 9.1884 9.1884 13.7724 111.74 111.74 17.70
Fractional coordinates of all 30 atoms:
Na: 0.9997 0.9997 0.0018
Na: 0.2000 0.2000 0.8992
Na: 0.2018 0.2018 0.3992
Na: 0.3993 0.3993 0.3014
Na: 0.3998 0.3998 0.7986
Na: 0.5995 0.5995 0.6977
Na: 0.5997 0.5997 0.2033
Na: 0.8020 0.8020 0.1029
Na: 0.7999 0.7999 0.5979
Na: 0.9986 0.9986 0.4989
B: 0.6325 0.6325 0.0156
B: 0.7692 0.7692 0.7864
B: 0.8308 0.8308 0.9116
B: 0.5700 0.5700 0.8900
B: 0.8313 0.8313 0.4120
B: 0.9718 0.9718 0.1954
B: 0.0375 0.0375 0.3258
B: 0.7647 0.7647 0.2806
B: 0.0279 0.0279 0.8050
B: 0.1654 0.1654 0.5801
B: 0.2281 0.2281 0.7045
B: 0.9622 0.9622 0.6728
B: 0.3703 0.3703 0.9921
B: 0.4337 0.4337 0.1193
B: 0.1750 0.1750 0.1017
B: 0.6259 0.6259 0.5012
B: 0.3715 0.3715 0.4917
C: 0.2328 0.2328 0.2179
C: 0.4315 0.4315 0.6110
C: 0.5674 0.5674 0.3846

Calculated values
**Crystal system**: monoclinic
**Space group**: Cm (8)
**ΔE to the lowest computed polymorph**: 0.010 eV/atom
**E_form**: 214 meV/atom
**Total energy**: -4.931 eV per atom
**N(E_F)**: 0.28 states/eV per atom


[20]
## TlPbF2 (PBE)

Data for a geometry-optimized TlPbF2 structure.

Lattice parameters (Å, degrees): 8.4930 8.4930 8.4930 24.96 24.96 24.96
Fractional coordinates of all 4 atoms:
Pb: 0.0000 0.0000 0.0000
Tl: 0.5000 0.5000 0.5000
F: 0.9049 0.9049 0.9049
F: 0.0951 0.0951 0.0951

Calculated values
**Crystal system**: trigonal
**Space group**: R-3m (166)
**ΔE to the lowest computed polymorph**: 0.062 eV/atom
**Total energy**: -4.055 eV per atom
**N(E_F)**: 0.12 states/eV per atom
**Uncorrected formation energy**: -618 kJ/mol of formula units